# 1
VASP calculation (PBE) on MnAlIr2Pt after structural relaxation.

The total magnetic moment comes out at 0.1 μB/f.u. The formation energy is 1.2203 eV/atom.

Unit cell a=4.444 b=4.444 c=4.437 alpha=90.00 beta=90.00 gamma=90.00
Positions (direct):
Mn1 0.000 0.000 0.000
Al1 0.500 0.500 0.500
Ir1 0.000 0.500 0.500
Ir2 0.500 0.000 0.500
Pt1 0.500 0.500 0.000

---

# 2
VASP calculation (PBE) on Tc6OsRu2 after structural relaxation.

The total magnetic moment comes out at 0.0 μB/f.u. The formation energy is 0.1171 eV/atom.

Unit cell a=6.796 b=6.796 c=6.965 alpha=114.76 beta=114.76 gamma=83.89
Positions (direct):
Tc1 0.097 0.845 0.551
Tc2 0.112 0.440 0.356
Tc3 0.155 0.903 0.949
Tc4 0.321 0.483 0.817
Tc5 0.440 0.112 0.856
Tc6 0.483 0.321 0.317
Tc7 0.517 0.679 0.683
Tc8 0.560 0.888 0.144
Tc9 0.679 0.517 0.183
Tc10 0.845 0.097 0.051
Tc11 0.888 0.560 0.644
Tc12 0.903 0.155 0.449
Os1 0.325 0.675 0.250
Os2 0.675 0.325 0.750
Ru1 0.094 0.297 0.935
Ru2 0.297 0.094 0.435
Ru3 0.703 0.906 0.565
Ru4 0.906 0.703 0.065

---

# 3
VASP calculation (PBE) on KVSe4 after structural relaxation.

The value obtained for the uncorrected formation energy is -3.432 eV per formula unit. The total magnetic moment comes out at 0.0 μB/f.u.

Unit cell a=5.534 b=8.278 c=8.368 alpha=118.20 beta=98.39 gamma=92.26
Positions (direct):
K1 0.242 0.212 0.363
K2 0.758 0.788 0.637
V1 0.267 0.470 0.007
V2 0.733 0.530 0.993
Se1 0.057 0.598 0.272
Se2 0.209 0.132 0.925
Se3 0.352 0.615 0.813
Se4 0.492 0.212 0.762
Se5 0.508 0.788 0.238
Se6 0.648 0.385 0.187
Se7 0.791 0.868 0.075
Se8 0.943 0.402 0.728

---

# 4
VASP calculation (PBE) on La4Er11S22 after structural relaxation.

The value obtained for the uncorrected formation energy is -79.172 eV per formula unit. The total magnetic moment comes out at 0.0 μB/f.u.

Unit cell a=19.733 b=19.733 c=11.352 alpha=91.56 beta=91.56 gamma=11.53
Positions (direct):
La1 0.105 0.105 0.013
La2 0.367 0.367 0.349
La3 0.633 0.633 0.651
La4 0.895 0.895 0.987
Er1 0.000 0.000 0.000
Er2 0.070 0.070 0.361
Er3 0.203 0.203 0.941
Er4 0.263 0.263 0.351
Er5 0.342 0.342 0.699
Er6 0.462 0.462 0.270
Er7 0.538 0.538 0.730
Er8 0.658 0.658 0.301
Er9 0.737 0.737 0.649
Er10 0.797 0.797 0.059
Er11 0.930 0.930 0.639
S1 0.008 0.008 0.240
S2 0.087 0.087 0.753
S3 0.135 0.135 0.451
S4 0.169 0.169 0.152
S5 0.190 0.190 0.691
S6 0.255 0.255 0.119
S7 0.280 0.280 0.589
S8 0.349 0.349 0.091
S9 0.407 0.407 0.787
S10 0.445 0.445 0.493
S11 0.454 0.454 0.030
S12 0.546 0.546 0.970
S13 0.555 0.555 0.507
S14 0.593 0.593 0.213
S15 0.651 0.651 0.909
S16 0.720 0.720 0.411
S17 0.745 0.745 0.881
S18 0.810 0.810 0.309
S19 0.831 0.831 0.848
S20 0.865 0.865 0.549
S21 0.913 0.913 0.247
S22 0.992 0.992 0.760

---

# 5
VASP calculation (PBE) on Pm3Sm2Ho after structural relaxation.

The total magnetic moment comes out at 0.0 μB/f.u. The formation energy is -0.0028 eV/atom.

Unit cell a=6.298 b=6.298 c=11.715 alpha=90.00 beta=90.00 gamma=59.97
Positions (direct):
Pm1 0.000 0.000 0.000
Pm2 0.000 0.000 0.500
Pm3 0.334 0.334 0.000
Pm4 0.334 0.334 0.500
Pm5 0.666 0.666 0.000
Pm6 0.666 0.666 0.500
Sm1 0.001 0.333 0.250
Sm2 0.333 0.001 0.750
Sm3 0.667 0.999 0.250
Sm4 0.999 0.667 0.750
Ho1 0.333 0.667 0.250
Ho2 0.667 0.333 0.750

---

# 6
VASP calculation (PBE) on In2RuPt after structural relaxation.

The total magnetic moment comes out at 0.0 μB/f.u. The formation energy is 0.2360 eV/atom.

Unit cell a=5.936 b=5.936 c=5.936 alpha=104.43 beta=104.43 gamma=120.11
Positions (direct):
In1 0.123 0.625 0.998
In2 0.375 0.373 0.498
In3 0.627 0.125 0.002
In4 0.875 0.877 0.502
Ru1 0.250 0.750 0.500
Ru2 0.500 0.500 0.000
Pt1 0.000 0.000 0.000
Pt2 0.750 0.250 0.500